# 1
The following is a DFT calculation (PBE) of a geometry-optimized LaTeN structure.

## Properties
Energy relative to the elements, uncorrected ... -24.64 kcal/mol of atoms
Mass density ... 5.0 Mg/m³
Crystal system ... monoclinic
Symmetry ... C2/m

Cell lengths 4.631, 4.631, 9.221 Å; angles 104.81, 104.81, 88.91 degrees
Atoms (fractional coordinates):
La  0.138  0.138  0.275
La  0.862  0.862  0.725
Te  0.335  0.335  0.671
Te  0.665  0.665  0.329
N  0.094  0.094  0.000
N  0.906  0.906  0.000

=====

# 2
The following is a DFT calculation (PBE) of a geometry-optimized La4Te2N structure.

## Properties
Energy relative to the elements, uncorrected ... -26.74 kcal/mol of atoms
Mass density ... 6.4 Mg/m³
Crystal system ... monoclinic
Symmetry ... C2/m

Cell lengths 8.346, 8.346, 7.225 Å; angles 114.95, 114.95, 28.26 degrees
Atoms (fractional coordinates):
La  0.098  0.098  0.242
La  0.400  0.400  0.192
La  0.600  0.600  0.808
La  0.902  0.902  0.758
Te  0.239  0.239  0.733
Te  0.761  0.761  0.267
N  0.500  0.500  0.000

=====

# 3
The following is a DFT calculation (PBE) of a geometry-optimized La5Te4N structure.

## Properties
Energy relative to the elements, uncorrected ... -33.48 kcal/mol of atoms
Mass density ... 6.5 Mg/m³
Crystal system ... tetragonal
Symmetry ... I4

Cell lengths 7.667, 7.667, 7.667 Å; angles 100.14, 100.14, 130.38 degrees
Atoms (fractional coordinates):
La  0.000  0.000  0.000
La  0.170  0.331  0.652
La  0.331  0.679  0.161
La  0.517  0.170  0.839
La  0.679  0.517  0.348
Te  0.011  0.618  0.776
Te  0.234  0.011  0.393
Te  0.618  0.841  0.607
Te  0.841  0.234  0.224
N  0.372  0.372  0.000

=====

# 4
The following is a DFT calculation (PBE) of a geometry-optimized LaThTe2N structure.

## Properties
Energy relative to the elements, uncorrected ... -36.39 kcal/mol of atoms
Mass density ... 7.0 Mg/m³
Crystal system ... tetragonal
Symmetry ... P4/nmm

Cell lengths 4.285, 4.285, 16.559 Å; angles 90.00, 90.00, 90.00 degrees
Atoms (fractional coordinates):
La  0.250  0.250  0.137
La  0.750  0.750  0.863
Th  0.250  0.250  0.565
Th  0.750  0.750  0.435
Te  0.250  0.250  0.319
Te  0.250  0.250  0.920
Te  0.750  0.750  0.080
Te  0.750  0.750  0.681
N  0.250  0.750  0.500
N  0.750  0.250  0.500

=====

# 5
The following is a DFT calculation (PBE) of a geometry-optimized LaTl2TeN structure.

## Properties
Energy relative to the elements, uncorrected ... 5.86 kcal/mol of atoms
Mass density ... 9.1 Mg/m³
Crystal system ... tetragonal
Symmetry ... P4/mmm

Cell lengths 5.185, 5.185, 4.699 Å; angles 90.00, 90.00, 90.00 degrees
Atoms (fractional coordinates):
La  0.000  0.000  0.000
Tl  0.000  0.500  0.500
Tl  0.500  0.000  0.500
Te  0.500  0.500  0.000
N  0.500  0.500  0.500

=====

# 6
The following is a DFT calculation (PBE) of a geometry-optimized La4TlTeN structure.

## Properties
Energy relative to the elements, uncorrected ... -21.69 kcal/mol of atoms
Mass density ... 7.2 Mg/m³
Crystal system ... orthorhombic
Symmetry ... Cmcm

Cell lengths 9.042, 9.042, 7.117 Å; angles 90.00, 90.00, 134.01 degrees
Atoms (fractional coordinates):
La  0.000  0.500  0.000
La  0.000  0.500  0.500
La  0.088  0.912  0.750
La  0.409  0.591  0.750
La  0.500  0.000  0.000
La  0.500  0.000  0.500
La  0.591  0.409  0.250
La  0.912  0.088  0.250
Tl  0.109  0.891  0.250
Tl  0.891  0.109  0.750
Te  0.390  0.610  0.250
Te  0.610  0.390  0.750
N  0.239  0.761  0.750
N  0.761  0.239  0.250

=====

Q: Which of these has the highest mass density?
A: LaTl2TeN

=====

Q: Look up the mass density of the sixth one.
A: 7.2 Mg/m³

=====

Repeat the sixth record exactly.
The following is a DFT calculation (PBE) of a geometry-optimized La4TlTeN structure.

## Properties
Energy relative to the elements, uncorrected ... -21.69 kcal/mol of atoms
Mass density ... 7.2 Mg/m³
Crystal system ... orthorhombic
Symmetry ... Cmcm

Cell lengths 9.042, 9.042, 7.117 Å; angles 90.00, 90.00, 134.01 degrees
Atoms (fractional coordinates):
La  0.000  0.500  0.000
La  0.000  0.500  0.500
La  0.088  0.912  0.750
La  0.409  0.591  0.750
La  0.500  0.000  0.000
La  0.500  0.000  0.500
La  0.591  0.409  0.250
La  0.912  0.088  0.250
Tl  0.109  0.891  0.250
Tl  0.891  0.109  0.750
Te  0.390  0.610  0.250
Te  0.610  0.390  0.750
N  0.239  0.761  0.750
N  0.761  0.239  0.250